Material: Tm4InSi
Method: DFT, PBE
State: relaxed

Computed properties:
Total moment   0.34 μB per cell
ΔE_f (raw)   -0.237 eV/atom
Symmetry   C2/c

a = 6.1564 Å, b = 6.8081 Å, c = 8.6990 Å
α = 103.37°, β = 110.73°, γ = 90.03°
With the nearest neighbours (Å) after each atom.
Fractional positions:
Tm1 0.4669 0.9580 0.1677  1 Si 2.77
Tm2 0.7010 0.4581 0.1676  1 Si 2.77
Tm3 0.2990 0.5419 0.8324  1 Si 2.77
In1 0.0947 0.2498 0.0001  8 Tm 3.21-3.40, 1 In 3.59
Tm4 0.9443 0.8882 0.6590  2 Si 2.77-2.79
Tm5 0.2850 0.6119 0.3407  2 Si 2.77-2.79
In2 0.9053 0.7502 0.9999  8 Tm 3.21-3.40, 1 In 3.59
Si1 0.0000 0.5000 0.5000  6 Tm 2.77-2.79
Tm6 0.0557 0.1118 0.3410  2 Si 2.77-2.79
Si2 0.5000 0.0000 0.5000  6 Tm 2.77-2.79
Tm7 0.7150 0.3881 0.6593  2 Si 2.77-2.79
Tm8 0.5331 0.0420 0.8323  1 Si 2.77


Material: TmInSi
Method: DFT, PBE
State: relaxed

Computed properties:
Total moment   0.00 μB per cell
ΔE_f (raw)   -0.434 eV/atom
Symmetry   Cmcm

a = 3.8315 Å, b = 4.3615 Å, c = 8.2965 Å
α = 74.76°, β = 90.00°, γ = 90.00°
With the nearest neighbours (Å) after each atom.
Fractional positions:
Tm1 0.7500 0.0874 0.8252  6 Si 2.96-3.11, 2 In 3.19
Tm2 0.2500 0.9126 0.1748  6 Si 2.96-3.11, 2 In 3.19
In1 0.2500 0.2676 0.4648  4 In 2.96, 2 Tm 3.19
In2 0.7500 0.7324 0.5352  4 In 2.96, 2 Tm 3.19
Si1 0.7500 0.4486 0.1028  2 Si 2.53
Si2 0.2500 0.5514 0.8972  2 Si 2.53


Material: UInSi2
Method: DFT, PBE
State: relaxed

Computed properties:
Total moment   0.00 μB per cell
ΔE_f (raw)   -0.134 eV/atom
Symmetry   P4/mmm

a = 3.8928 Å, b = 4.4123 Å, c = 4.4123 Å
α = 90.00°, β = 90.00°, γ = 90.00°
With the nearest neighbours (Å) after each atom.
Fractional positions:
U1 0.5000 0.0000 0.0000  8 Si 2.94, 4 In 3.12
Si1 0.0000 0.5000 0.0000  4 In 2.94, 4 U 2.94, 4 Si 3.12
In1 0.5000 0.5000 0.5000  8 Si 2.94, 4 U 3.12
Si2 0.0000 0.0000 0.5000  4 In 2.94, 4 U 2.94, 4 Si 3.12


What is the formula in the first record?
Tm4InSi


Repeat the second record exactly.
Material: TmInSi
Method: DFT, PBE
State: relaxed

Computed properties:
Total moment   0.00 μB per cell
ΔE_f (raw)   -0.434 eV/atom
Symmetry   Cmcm

a = 3.8315 Å, b = 4.3615 Å, c = 8.2965 Å
α = 74.76°, β = 90.00°, γ = 90.00°
With the nearest neighbours (Å) after each atom.
Fractional positions:
Tm1 0.7500 0.0874 0.8252  6 Si 2.96-3.11, 2 In 3.19
Tm2 0.2500 0.9126 0.1748  6 Si 2.96-3.11, 2 In 3.19
In1 0.2500 0.2676 0.4648  4 In 2.96, 2 Tm 3.19
In2 0.7500 0.7324 0.5352  4 In 2.96, 2 Tm 3.19
Si1 0.7500 0.4486 0.1028  2 Si 2.53
Si2 0.2500 0.5514 0.8972  2 Si 2.53


Copy entry 2 word for word.
Material: TmInSi
Method: DFT, PBE
State: relaxed

Computed properties:
Total moment   0.00 μB per cell
ΔE_f (raw)   -0.434 eV/atom
Symmetry   Cmcm

a = 3.8315 Å, b = 4.3615 Å, c = 8.2965 Å
α = 74.76°, β = 90.00°, γ = 90.00°
With the nearest neighbours (Å) after each atom.
Fractional positions:
Tm1 0.7500 0.0874 0.8252  6 Si 2.96-3.11, 2 In 3.19
Tm2 0.2500 0.9126 0.1748  6 Si 2.96-3.11, 2 In 3.19
In1 0.2500 0.2676 0.4648  4 In 2.96, 2 Tm 3.19
In2 0.7500 0.7324 0.5352  4 In 2.96, 2 Tm 3.19
Si1 0.7500 0.4486 0.1028  2 Si 2.53
Si2 0.2500 0.5514 0.8972  2 Si 2.53


What is the ΔE_f (raw) in the first record?
-0.237 eV/atom